The following is a PBE calculation of an optimized crystal structure of LaHo3Tm5, from Alexandria via LeMat-Bulk.

Geometry as POSCAR:
```
LaHo3Tm5
1.0
7.964 -4.349 0.000
7.964 4.349 0.000
-7.460 0.000 9.129
La Ho Tm
2 6 10
Cartesian
-0.403 0.000 3.257
8.871 0.000 5.872
0.000 0.000 0.000
-3.730 0.000 4.564
2.635 0.000 1.780
-0.933 0.000 6.508
9.401 0.000 2.621
5.833 0.000 7.349
4.847 2.783 1.557
3.621 2.783 7.572
7.964 1.565 0.000
5.316 0.000 0.293
2.619 0.000 5.503
5.849 0.000 3.626
3.152 0.000 8.836
7.964 -1.565 0.000
4.847 -2.783 1.557
3.621 -2.783 7.572
```

Values from the calculation:
- Energy relative to the lowest polymorph listed for this composition: 127 meV/atom
- Total DFT energy (no corrections): -4.090 eV per atom
- DOS at the Fermi energy: 21.7 states/eV/cell


The following is a PBE calculation of an optimized crystal structure of LaHo4Tm, from Alexandria via LeMat-Bulk.

Geometry as POSCAR:
```
LaHo4Tm
1.0
0.000 4.656 4.656
4.656 0.000 4.656
4.656 4.656 0.000
La Ho Tm
1 4 1
Cartesian
0.000 0.000 0.000
3.497 3.497 3.497
5.816 5.816 3.497
5.816 3.497 5.816
3.497 5.816 5.816
6.985 6.985 6.985
```

Values from the calculation:
- Energy relative to the lowest polymorph listed for this composition: 70 meV/atom
- Total DFT energy (no corrections): -4.347 eV per atom
- DOS at the Fermi energy: 11.2 states/eV/cell


The following is a PBE calculation of an optimized crystal structure of La3Ho2Tm4, from Alexandria via LeMat-Bulk.

Geometry as POSCAR:
```
La3Ho2Tm4
1.0
8.142 -5.888 0.000
8.142 5.888 0.000
-0.802 0.000 6.101
La Ho Tm
6 4 8
Cartesian
7.541 4.356 4.576
4.726 1.607 5.571
5.127 -1.607 2.520
10.356 1.607 3.581
10.757 -1.607 0.530
7.942 -4.356 1.525
6.161 4.407 1.248
9.723 4.407 1.803
5.760 -4.407 4.298
9.322 -4.407 4.853
3.374 1.423 2.237
6.856 1.427 2.822
2.973 -1.423 5.288
9.028 1.427 0.229
6.455 -1.427 5.872
12.509 1.423 0.813
8.627 -1.427 3.279
12.108 -1.423 3.864
```

Values from the calculation:
- Energy relative to the lowest polymorph listed for this composition: 0 meV/atom
- Total DFT energy (no corrections): -4.536 eV per atom
- DOS at the Fermi energy: 26.6 states/eV/cell


The following is a PBE calculation of an optimized crystal structure of La4HoTm4, from Alexandria via LeMat-Bulk.

Geometry as POSCAR:
```
La4HoTm4
1.0
-5.403 5.403 2.555
5.403 -5.403 2.555
5.403 5.403 -2.555
La Ho Tm
4 1 4
Cartesian
1.803 1.803 0.000
3.600 -3.600 2.555
-3.600 3.600 2.555
3.600 3.600 2.555
0.000 0.000 2.555
5.403 1.759 0.000
1.759 5.403 0.000
3.644 0.000 2.555
0.000 3.644 2.555
```

Values from the calculation:
- Energy relative to the lowest polymorph listed for this composition: 0 meV/atom
- Total DFT energy (no corrections): -4.651 eV per atom
- DOS at the Fermi energy: 13.6 states/eV/cell


The following is a PBE calculation of an optimized crystal structure of LaHo8Tm4, from Alexandria via LeMat-Bulk.

Geometry as POSCAR:
```
LaHo8Tm4
1.0
3.620 2.090 8.966
-3.620 2.090 8.966
0.000 -4.180 8.966
La Ho Tm
1 8 4
Cartesian
0.000 0.000 0.000
0.000 -1.866 10.732
-1.616 0.933 10.732
0.000 0.000 7.552
-1.616 -0.933 16.165
1.616 0.933 10.732
0.000 0.000 19.345
1.616 -0.933 16.165
0.000 1.866 16.165
-3.620 0.000 13.449
-1.810 1.045 4.483
1.810 1.045 4.483
0.000 0.000 13.449
```

Values from the calculation:
- Total DFT energy (no corrections): -4.378 eV per atom
- DOS at the Fermi energy: 16.7 states/eV/cell


The following is a PBE calculation of an optimized crystal structure of La3Ho4Tm2, from Alexandria via LeMat-Bulk.

Geometry as POSCAR:
```
La3Ho4Tm2
1.0
7.486 -6.506 0.000
7.486 6.506 0.000
-1.576 0.000 6.191
La Ho Tm
6 8 4
Cartesian
6.304 6.006 4.643
5.940 0.814 0.072
5.152 -0.814 3.168
8.243 0.814 3.023
7.455 -0.814 6.119
7.092 -6.006 1.548
3.389 4.127 5.534
5.343 2.725 3.049
9.218 4.127 3.752
8.840 2.725 0.046
4.555 -2.725 6.145
4.177 -4.127 2.439
8.052 -2.725 3.142
10.006 -4.127 0.657
2.205 1.013 3.805
2.993 -1.013 0.710
10.402 1.013 5.481
11.191 -1.013 2.386
```

Values from the calculation:
- Energy relative to the lowest polymorph listed for this composition: 33 meV/atom
- Total DFT energy (no corrections): -4.529 eV per atom
- DOS at the Fermi energy: 28.9 states/eV/cell


The following is a PBE calculation of an optimized crystal structure of La3Ho2Tm2, from Alexandria via LeMat-Bulk.

Geometry as POSCAR:
```
La3Ho2Tm2
1.0
8.857 -1.752 0.000
8.857 1.752 0.000
-4.085 0.000 7.542
La Ho Tm
3 2 2
Cartesian
0.000 0.000 0.000
2.599 0.000 2.210
11.029 0.000 5.332
5.306 0.000 4.438
8.321 0.000 3.105
-0.874 0.000 6.169
14.501 0.000 1.373
```

Values from the calculation:
- Energy relative to the lowest polymorph listed for this composition: 87 meV/atom
- Total DFT energy (no corrections): -4.580 eV per atom
- DOS at the Fermi energy: 11.0 states/eV/cell


The following is a PBE calculation of an optimized crystal structure of La4Ho5Tm, from Alexandria via LeMat-Bulk.

Geometry as POSCAR:
```
La4Ho5Tm
1.0
8.563 -1.768 0.000
8.563 1.768 0.000
-0.022 0.000 11.447
La Ho Tm
4 5 1
Cartesian
0.556 0.000 2.856
5.751 0.000 2.864
11.354 0.000 8.583
16.549 0.000 8.591
2.945 0.000 0.536
2.945 0.000 5.174
8.552 0.000 5.723
14.160 0.000 6.273
14.159 0.000 10.911
8.563 0.000 0.000
```

Values from the calculation:
- Energy relative to the lowest polymorph listed for this composition: 0 meV/atom
- Total DFT energy (no corrections): -4.513 eV per atom
- DOS at the Fermi energy: 14.7 states/eV/cell


| no. | formation energy (eV/atom) |
| --- | --- |
| 1 | 0.47 |
| 2 | 0.27 |
| 3 | 0.11 |
| 4 | 0.03 |
| 5 | 0.19 |
| 6 | 0.14 |
| 7 | 0.12 |
| 8 | 0.19 |